1.
# PBE Cs2GePd, relaxed
# E above lowest polymorph (meV/atom): 0
# ΔE_f (eV per formula unit): -0.33
data_Cs2GePd
_chemical_formula_sum 'Cs8 Ge4 Pd4'
_cell_length_a 13.2668
_cell_length_b 13.2668
_cell_length_c 4.7737
_cell_angle_alpha 90.00
_cell_angle_beta 90.00
_cell_angle_gamma 90.00
_symmetry_space_group_name_H-M 'I -4 2 d'
_symmetry_Int_Tables_number 122
_symmetry_space_group_name_Hall 'I -4 2bw'
loop_
_atom_site_label
_atom_site_fract_x
_atom_site_fract_y
_atom_site_fract_z
Cs1 0.0719 0.7500 0.1250
Ge1 0.0000 0.0000 0.5000
Pd1 0.0000 0.0000 0.0000

2.
# PBE NiMoBr, relaxed
# E above lowest polymorph (meV/atom): 42
data_NiMoBr
_chemical_formula_sum 'Ni2 Mo2 Br2'
_cell_length_a 2.9658
_cell_length_b 2.9658
_cell_length_c 12.4322
_cell_angle_alpha 90.00
_cell_angle_beta 90.00
_cell_angle_gamma 90.00
_symmetry_space_group_name_H-M 'I 4 m m'
_symmetry_Int_Tables_number 107
_symmetry_space_group_name_Hall 'I 4 -2'
loop_
_atom_site_label
_atom_site_fract_x
_atom_site_fract_y
_atom_site_fract_z
Ni1 0.0000 0.0000 0.0000
Mo1 0.0000 0.0000 0.6200
Br1 0.0000 0.0000 0.2624

3.
# PBE Tl2CdNi2, relaxed
# E above lowest polymorph (meV/atom): 85
# ΔE_f (eV per formula unit): 1.36
data_Tl2CdNi2
_chemical_formula_sum 'Tl4 Cd2 Ni4'
_cell_length_a 3.4256
_cell_length_b 3.4256
_cell_length_c 17.9719
_cell_angle_alpha 90.00
_cell_angle_beta 90.00
_cell_angle_gamma 90.00
_symmetry_space_group_name_H-M 'I 4/m m m'
_symmetry_Int_Tables_number 139
_symmetry_space_group_name_Hall '-I 4 2'
loop_
_atom_site_label
_atom_site_fract_x
_atom_site_fract_y
_atom_site_fract_z
Tl1 0.0000 0.0000 0.1294
Cd1 0.0000 0.0000 0.5000
Ni1 0.0000 0.5000 0.2500

4.
# PBE Ti3AuN, relaxed
# VASP energy (eV for the cell shown): -159.62
data_Ti3AuN
_chemical_formula_sum 'Ti12 Au4 N4'
_cell_length_a 10.5877
_cell_length_b 3.0605
_cell_length_c 9.3001
_cell_angle_alpha 90.00
_cell_angle_beta 105.99
_cell_angle_gamma 90.00
_symmetry_space_group_name_H-M 'C 1 2/m 1'
_symmetry_Int_Tables_number 12
_symmetry_space_group_name_Hall '-C 2y'
loop_
_atom_site_label
_atom_site_fract_x
_atom_site_fract_y
_atom_site_fract_z
Ti1 0.1044 0.0000 0.1555
Ti2 0.1473 0.5000 0.9073
Ti3 0.1777 0.0000 0.6340
Au1 0.0517 0.5000 0.3769
N1 0.2334 0.5000 0.1380

5.
# PBE BaTa2As, relaxed
# ΔE_f (eV per formula unit): 1.21
data_BaTa2As
_chemical_formula_sum 'Ba3 Ta6 As3'
_cell_length_a 3.4076
_cell_length_b 3.4076
_cell_length_c 28.5910
_cell_angle_alpha 90.00
_cell_angle_beta 90.00
_cell_angle_gamma 120.00
_symmetry_space_group_name_H-M 'R 3 m'
_symmetry_Int_Tables_number 160
_symmetry_space_group_name_Hall 'R 3 -2"'
loop_
_atom_site_label
_atom_site_fract_x
_atom_site_fract_y
_atom_site_fract_z
Ba1 0.0000 0.0000 0.0000
Ta1 0.0000 0.0000 0.5131
Ta2 0.0000 0.0000 0.7765
As1 0.0000 0.0000 0.2416

6.
# PBE Er3Tm2Al2, relaxed
# E above lowest polymorph (meV/atom): 0
# ΔE_f (eV per formula unit): -1.43
data_Er3Tm2Al2
_chemical_formula_sum 'Er9 Tm6 Al6'
_cell_length_a 5.2087
_cell_length_b 5.2087
_cell_length_c 23.0966
_cell_angle_alpha 90.00
_cell_angle_beta 90.00
_cell_angle_gamma 120.00
_symmetry_space_group_name_H-M 'R -3 m'
_symmetry_Int_Tables_number 166
_symmetry_space_group_name_Hall '-R 3 2"'
loop_
_atom_site_label
_atom_site_fract_x
_atom_site_fract_y
_atom_site_fract_z
Er1 0.0000 0.0000 0.0000
Er2 0.0000 0.0000 0.1527
Tm1 0.0000 0.0000 0.4191
Al1 0.0000 0.0000 0.2826

7.
# PBE BeCo2Sb, relaxed
# E above lowest polymorph (meV/atom): 183
data_BeCo2Sb
_chemical_formula_sum 'Be1 Co2 Sb1'
_cell_length_a 3.0912
_cell_length_b 3.0912
_cell_length_c 5.4738
_cell_angle_alpha 90.00
_cell_angle_beta 90.00
_cell_angle_gamma 90.00
_symmetry_space_group_name_H-M 'P 4 m m'
_symmetry_Int_Tables_number 99
_symmetry_space_group_name_Hall 'P 4 -2'
loop_
_atom_site_label
_atom_site_fract_x
_atom_site_fract_y
_atom_site_fract_z
Be1 0.0000 0.0000 0.0000
Co1 0.0000 0.0000 0.4053
Co2 0.5000 0.5000 0.1172
Sb1 0.5000 0.5000 0.6508

8.
# PBE AcThAs2O8, relaxed
# VASP energy (eV for the cell shown): -177.12
data_AcThAs2O8
_chemical_formula_sum 'Ac2 Th2 As4 O16'
_cell_length_a 7.5208
_cell_length_b 7.5208
_cell_length_c 6.7625
_cell_angle_alpha 90.00
_cell_angle_beta 90.00
_cell_angle_gamma 90.00
_symmetry_space_group_name_H-M 'I -4 m 2'
_symmetry_Int_Tables_number 119
_symmetry_space_group_name_Hall 'I -4 -2'
loop_
_atom_site_label
_atom_site_fract_x
_atom_site_fract_y
_atom_site_fract_z
Ac1 0.0000 0.0000 0.0000
Th1 0.0000 0.5000 0.7500
As1 0.0000 0.0000 0.5000
As2 0.0000 0.5000 0.2500
O1 0.0000 0.1924 0.6765
O2 0.0000 0.3287 0.0805

9.
# PBE Cu12Pd5Pt2, relaxed
# E above lowest polymorph (meV/atom): 0
# ΔE_f (eV per formula unit): -0.64
data_Cu12Pd5Pt2
_chemical_formula_sum 'Cu24 Pd10 Pt4'
_cell_length_a 9.7898
_cell_length_b 8.4615
_cell_length_c 7.1517
_cell_angle_alpha 90.00
_cell_angle_beta 118.71
_cell_angle_gamma 90.00
_symmetry_space_group_name_H-M 'C 1 2/m 1'
_symmetry_Int_Tables_number 12
_symmetry_space_group_name_Hall '-C 2y'
loop_
_atom_site_label
_atom_site_fract_x
_atom_site_fract_y
_atom_site_fract_z
Cu1 0.0950 0.0000 0.3447
Cu2 0.1003 0.2327 0.9149
Cu3 0.1068 0.5000 0.4107
Cu4 0.1917 0.2519 0.3029
Pd1 0.0000 0.5000 0.0000
Pd2 0.1889 0.0000 0.7566
Pd3 0.2057 0.5000 0.8152
Pt1 0.0000 0.2465 0.5000

10.
# PBE BaScAl3, relaxed
# E above lowest polymorph (meV/atom): 0
# ΔE_f (eV per formula unit): 1.25
data_BaScAl3
_chemical_formula_sum 'Ba1 Sc1 Al3'
_cell_length_a 5.3492
_cell_length_b 5.3492
_cell_length_c 5.3492
_cell_angle_alpha 90.00
_cell_angle_beta 90.00
_cell_angle_gamma 90.00
_symmetry_space_group_name_H-M 'P m -3 m'
_symmetry_Int_Tables_number 221
_symmetry_space_group_name_Hall '-P 4 2 3'
loop_
_atom_site_label
_atom_site_fract_x
_atom_site_fract_y
_atom_site_fract_z
Ba1 0.0000 0.0000 0.0000
Sc1 0.5000 0.5000 0.5000
Al1 0.0000 0.5000 0.5000

11.
# PBE KCd6AgAu, relaxed
# ΔE_f (eV per formula unit): 0.91
data_KCd6AgAu
_chemical_formula_sum 'K4 Cd24 Ag4 Au4'
_cell_length_a 8.0616
_cell_length_b 9.6349
_cell_length_c 14.7670
_cell_angle_alpha 90.00
_cell_angle_beta 90.00
_cell_angle_gamma 90.00
_symmetry_space_group_name_H-M 'I m m a'
_symmetry_Int_Tables_number 74
_symmetry_space_group_name_Hall '-I 2b 2'
loop_
_atom_site_label
_atom_site_fract_x
_atom_site_fract_y
_atom_site_fract_z
K1 0.0000 0.2500 0.1293
Cd1 0.0000 0.2500 0.3960
Cd2 0.0000 0.2500 0.8838
Cd3 0.2041 0.0118 0.6496
Ag1 0.2500 0.2500 0.7500
Au1 0.0000 0.0000 0.5000

12.
# PBE Dy3MnC, relaxed
# ΔE_f (eV per formula unit): 0.31
data_Dy3MnC
_chemical_formula_sum 'Dy3 Mn1 C1'
_cell_length_a 4.9052
_cell_length_b 4.9052
_cell_length_c 4.9052
_cell_angle_alpha 90.00
_cell_angle_beta 90.00
_cell_angle_gamma 90.00
_symmetry_space_group_name_H-M 'P m -3 m'
_symmetry_Int_Tables_number 221
_symmetry_space_group_name_Hall '-P 4 2 3'
loop_
_atom_site_label
_atom_site_fract_x
_atom_site_fract_y
_atom_site_fract_z
Dy1 0.0000 0.0000 0.5000
Mn1 0.5000 0.5000 0.5000
C1 0.0000 0.0000 0.0000

13.
# PBE Hf2TlAsH, relaxed
# VASP energy (eV for the cell shown): -29.79
data_Hf2TlAsH
_chemical_formula_sum 'Hf2 Tl1 As1 H1'
_cell_length_a 4.3144
_cell_length_b 4.3144
_cell_length_c 4.7889
_cell_angle_alpha 90.00
_cell_angle_beta 90.00
_cell_angle_gamma 90.00
_symmetry_space_group_name_H-M 'P 4/m m m'
_symmetry_Int_Tables_number 123
_symmetry_space_group_name_Hall '-P 4 2'
loop_
_atom_site_label
_atom_site_fract_x
_atom_site_fract_y
_atom_site_fract_z
Hf1 0.0000 0.5000 0.0000
Tl1 0.0000 0.0000 0.5000
As1 0.5000 0.5000 0.5000
H1 0.0000 0.0000 0.0000

14.
# PBE TbSm6Tl5, relaxed
# E above lowest polymorph (meV/atom): 0
# ΔE_f (eV per formula unit): -3.54
data_TbSm6Tl5
_chemical_formula_sum 'Tb2 Sm12 Tl10'
_cell_length_a 5.0701
_cell_length_b 9.0111
_cell_length_c 15.4033
_cell_angle_alpha 90.00
_cell_angle_beta 90.00
_cell_angle_gamma 90.00
_symmetry_space_group_name_H-M 'I m m m'
_symmetry_Int_Tables_number 71
_symmetry_space_group_name_Hall '-I 2 2'
loop_
_atom_site_label
_atom_site_fract_x
_atom_site_fract_y
_atom_site_fract_z
Tb1 0.0000 0.0000 0.0000
Sm1 0.0000 0.2305 0.5000
Sm2 0.0000 0.2622 0.1710
Tl1 0.0000 0.0000 0.3242
Tl2 0.0000 0.5000 0.0000
Tl3 0.0000 0.5000 0.3510

15.
# PBE NiTePd, relaxed
# E above lowest polymorph (meV/atom): 130
data_NiTePd
_chemical_formula_sum 'Ni4 Te4 Pd4'
_cell_length_a 4.5763
_cell_length_b 11.7591
_cell_length_c 4.4857
_cell_angle_alpha 90.00
_cell_angle_beta 120.46
_cell_angle_gamma 90.00
_symmetry_space_group_name_H-M 'C 1 c 1'
_symmetry_Int_Tables_number 9
_symmetry_space_group_name_Hall 'C -2yc'
loop_
_atom_site_label
_atom_site_fract_x
_atom_site_fract_y
_atom_site_fract_z
Ni1 0.0000 0.1855 0.0000
Te1 0.1662 0.3671 0.8254
Pd1 0.3271 0.0769 0.6484

16.
# PBE RbMg2SnIr, relaxed
# ΔE_f (eV per formula unit): -1.02
data_RbMg2SnIr
_chemical_formula_sum 'Rb1 Mg2 Sn1 Ir1'
_cell_length_a 5.2509
_cell_length_b 5.2509
_cell_length_c 5.0984
_cell_angle_alpha 90.00
_cell_angle_beta 90.00
_cell_angle_gamma 90.00
_symmetry_space_group_name_H-M 'P 4/m m m'
_symmetry_Int_Tables_number 123
_symmetry_space_group_name_Hall '-P 4 2'
loop_
_atom_site_label
_atom_site_fract_x
_atom_site_fract_y
_atom_site_fract_z
Rb1 0.0000 0.0000 0.0000
Mg1 0.0000 0.5000 0.5000
Sn1 0.5000 0.5000 0.0000
Ir1 0.5000 0.5000 0.5000

17.
# PBE CoSi2Sb, relaxed
# VASP energy (eV for the cell shown): -43.17
data_CoSi2Sb
_chemical_formula_sum 'Co2 Si4 Sb2'
_cell_length_a 7.2774
_cell_length_b 3.4366
_cell_length_c 5.5398
_cell_angle_alpha 90.00
_cell_angle_beta 104.55
_cell_angle_gamma 90.00
_symmetry_space_group_name_H-M 'C 1 2/m 1'
_symmetry_Int_Tables_number 12
_symmetry_space_group_name_Hall '-C 2y'
loop_
_atom_site_label
_atom_site_fract_x
_atom_site_fract_y
_atom_site_fract_z
Co1 0.0000 0.0000 0.0000
Si1 0.2225 0.5000 0.1469
Sb1 0.0000 0.5000 0.5000

18.
# PBE Rb2TlSb2, relaxed
# E above lowest polymorph (meV/atom): 228
data_Rb2TlSb2
_chemical_formula_sum 'Rb4 Tl2 Sb4'
_cell_length_a 10.7274
_cell_length_b 10.7274
_cell_length_c 3.5200
_cell_angle_alpha 90.00
_cell_angle_beta 90.00
_cell_angle_gamma 90.00
_symmetry_space_group_name_H-M 'P 4/m b m'
_symmetry_Int_Tables_number 127
_symmetry_space_group_name_Hall '-P 4 2ab'
loop_
_atom_site_label
_atom_site_fract_x
_atom_site_fract_y
_atom_site_fract_z
Rb1 0.1989 0.3011 0.0000
Tl1 0.0000 0.0000 0.0000
Sb1 0.0926 0.5926 0.5000

19.
# PBE As4RuRh, relaxed
# E above lowest polymorph (meV/atom): 997
# ΔE_f (eV per formula unit): 4.72
data_As4RuRh
_chemical_formula_sum 'As16 Ru4 Rh4'
_cell_length_a 7.4913
_cell_length_b 7.4913
_cell_length_c 7.4913
_cell_angle_alpha 90.00
_cell_angle_beta 90.00
_cell_angle_gamma 90.00
_symmetry_space_group_name_H-M 'F -4 3 m'
_symmetry_Int_Tables_number 216
_symmetry_space_group_name_Hall 'F -4 2 3'
loop_
_atom_site_label
_atom_site_fract_x
_atom_site_fract_y
_atom_site_fract_z
As1 0.1252 0.1252 0.1252
Ru1 0.0000 0.0000 0.5000
Rh1 0.2500 0.2500 0.7500

20.
# PBE Ag4Pt3, relaxed
# E above lowest polymorph (meV/atom): 37
# ΔE_f (eV per formula unit): 0.25
data_Ag4Pt3
_chemical_formula_sum 'Ag12 Pt9'
_cell_length_a 7.5977
_cell_length_b 7.5977
_cell_length_c 7.0372
_cell_angle_alpha 90.00
_cell_angle_beta 90.00
_cell_angle_gamma 120.00
_symmetry_space_group_name_H-M 'R 3'
_symmetry_Int_Tables_number 146
_symmetry_space_group_name_Hall 'R 3'
loop_
_atom_site_label
_atom_site_fract_x
_atom_site_fract_y
_atom_site_fract_z
Ag1 0.0000 0.0000 0.0000
Ag2 0.0502 0.2411 0.6622
Pt1 0.1399 0.7056 0.9956

21.
# PBE LiCe2Co3Ge4, relaxed
# ΔE_f (eV per formula unit): -5.48
data_LiCe2Co3Ge4
_chemical_formula_sum 'Li1 Ce2 Co3 Ge4'
_cell_length_a 4.1659
_cell_length_b 4.1659
_cell_length_c 9.5527
_cell_angle_alpha 90.00
_cell_angle_beta 90.00
_cell_angle_gamma 90.00
_symmetry_space_group_name_H-M 'P -4 m 2'
_symmetry_Int_Tables_number 115
_symmetry_space_group_name_Hall 'P -4 -2'
loop_
_atom_site_label
_atom_site_fract_x
_atom_site_fract_y
_atom_site_fract_z
Li1 0.0000 0.0000 0.0000
Ce1 0.0000 0.5000 0.7485
Co1 0.0000 0.5000 0.3760
Co2 0.5000 0.5000 0.0000
Ge1 0.0000 0.0000 0.5000
Ge2 0.0000 0.5000 0.1318
Ge3 0.5000 0.5000 0.5000

22.
# PBE KOs4Ru2, relaxed
# ΔE_f (eV per formula unit): 20.63
data_KOs4Ru2
_chemical_formula_sum 'K2 Os8 Ru4'
_cell_length_a 4.5340
_cell_length_b 4.5340
_cell_length_c 13.3905
_cell_angle_alpha 90.00
_cell_angle_beta 90.00
_cell_angle_gamma 90.00
_symmetry_space_group_name_H-M 'I 4/m m m'
_symmetry_Int_Tables_number 139
_symmetry_space_group_name_Hall '-I 4 2'
loop_
_atom_site_label
_atom_site_fract_x
_atom_site_fract_y
_atom_site_fract_z
K1 0.0000 0.0000 0.0000
Os1 0.0000 0.0000 0.2271
Os2 0.0000 0.5000 0.0000
Ru1 0.0000 0.0000 0.3943

23.
# PBE TlP, relaxed
# ΔE_f (eV per formula unit): 0.74
data_TlP
_chemical_formula_sum 'Tl8 P8'
_cell_length_a 7.8242
_cell_length_b 7.9048
_cell_length_c 8.5967
_cell_angle_alpha 90.00
_cell_angle_beta 90.00
_cell_angle_gamma 90.00
_symmetry_space_group_name_H-M 'P 21 21 21'
_symmetry_Int_Tables_number 19
_symmetry_space_group_name_Hall 'P 2ac 2ab'
loop_
_atom_site_label
_atom_site_fract_x
_atom_site_fract_y
_atom_site_fract_z
Tl1 0.1691 0.0712 0.2937
Tl2 0.2196 0.4034 0.9944
P1 0.1240 0.4139 0.2917
P2 0.1313 0.8953 0.5483

24.
# PBE Tm4Ga12Fe, relaxed
# ΔE_f (eV per formula unit): -8.66
data_Tm4Ga12Fe
_chemical_formula_sum 'Tm8 Ga24 Fe2'
_cell_length_a 8.5196
_cell_length_b 8.5196
_cell_length_c 8.5196
_cell_angle_alpha 90.00
_cell_angle_beta 90.00
_cell_angle_gamma 90.00
_symmetry_space_group_name_H-M 'I m -3 m'
_symmetry_Int_Tables_number 229
_symmetry_space_group_name_Hall '-I 4 2 3'
loop_
_atom_site_label
_atom_site_fract_x
_atom_site_fract_y
_atom_site_fract_z
Tm1 0.2500 0.2500 0.2500
Ga1 0.0000 0.0000 0.2843
Ga2 0.0000 0.2500 0.5000
Fe1 0.0000 0.0000 0.0000

no.,spin magnetization (μB/atom)
1,0.0000
2,0.0000
3,0.0400
4,0.0000
5,0.0001
6,0.0000
7,0.4601
8,0.0000
9,0.0000
10,0.0000
11,0.0000
12,0.8896
13,0.0000
14,0.0000
15,0.0000
16,0.0000
17,0.0000
18,0.0000
19,0.0009
20,0.0000
21,0.0007
22,0.1772
23,0.0000
24,0.0941